Entry 1:
! PBE-GGA DyHoPuSn, relaxed; values from VASP
! Formation energy from the elements, eV per atom: -0.13
&SYSTEM
  ibrav = 0, nat = 4, ntyp = 4
/
ATOMIC_SPECIES
Dy 162.50 Dy.upf
Ho 164.93 Ho.upf
Pu 244.00 Pu.upf
Sn 118.71 Sn.upf
ATOMIC_POSITIONS angstrom
Dy 0.000 0.000 0.000
Ho 5.714 5.714 5.714
Pu 3.809 3.809 3.809
Sn 1.905 1.905 1.905
CELL_PARAMETERS angstrom
0.000 3.809 3.809
3.809 0.000 3.809
3.809 3.809 0.000

***

Entry 2:
! PBE-GGA Tb6Dy3Ho2Pu, relaxed; values from VASP
! Formation energy from the elements, eV per atom: 0.04
&SYSTEM
  ibrav = 0, nat = 12, ntyp = 4
/
ATOMIC_SPECIES
Tb 158.93 Tb.upf
Dy 162.50 Dy.upf
Ho 164.93 Ho.upf
Pu 244.00 Pu.upf
ATOMIC_POSITIONS angstrom
Tb -0.018 1.750 8.610
Tb 0.998 0.000 2.901
Tb -0.018 -1.750 8.610
Tb 4.093 1.750 2.901
Tb 3.077 0.000 8.610
Tb 4.093 -1.750 2.901
Dy 3.063 3.533 0.000
Dy 3.063 0.000 0.000
Dy 3.063 -3.533 0.000
Ho 2.038 1.767 5.756
Ho 2.038 -1.767 5.756
Pu -1.026 0.000 5.756
CELL_PARAMETERS angstrom
3.063 -5.306 0.000
3.063 5.306 0.000
-2.051 0.000 11.511

***

Entry 3:
! PBE-GGA Tb3Dy6Ho2Pu, relaxed; values from VASP
! Formation energy from the elements, eV per atom: 0.04
&SYSTEM
  ibrav = 0, nat = 12, ntyp = 4
/
ATOMIC_SPECIES
Tb 158.93 Tb.upf
Dy 162.50 Dy.upf
Ho 164.93 Ho.upf
Pu 244.00 Pu.upf
ATOMIC_POSITIONS angstrom
Tb 0.000 0.000 0.000
Tb 3.058 1.771 0.000
Tb 3.058 -1.771 0.000
Dy 1.029 1.747 2.903
Dy 0.015 0.000 8.596
Dy 1.029 -1.747 2.903
Dy 3.041 1.747 8.595
Dy 4.055 0.000 2.903
Dy 3.041 -1.747 8.595
Ho 2.035 3.533 5.749
Ho 2.035 -3.533 5.749
Pu 2.035 0.000 5.749
CELL_PARAMETERS angstrom
3.058 -5.298 0.000
3.058 5.298 0.000
-2.047 0.000 11.498

***

Entry 4:
! PBE-GGA Tb6Dy2Ho3Pu, relaxed; values from VASP
! Formation energy from the elements, eV per atom: 0.04
&SYSTEM
  ibrav = 0, nat = 12, ntyp = 4
/
ATOMIC_SPECIES
Tb 158.93 Tb.upf
Dy 162.50 Dy.upf
Ho 164.93 Ho.upf
Pu 244.00 Pu.upf
ATOMIC_POSITIONS angstrom
Tb -0.018 1.749 8.613
Tb 0.999 0.000 2.890
Tb -0.018 -1.749 8.613
Tb 4.093 1.749 2.890
Tb 3.076 0.000 8.614
Tb 4.093 -1.749 2.890
Dy 2.037 1.767 5.752
Dy 2.037 -1.767 5.752
Ho 3.062 3.533 0.000
Ho 3.062 0.000 0.000
Ho 3.062 -3.533 0.000
Pu -1.024 0.000 5.752
CELL_PARAMETERS angstrom
3.062 -5.305 0.000
3.062 5.305 0.000
-2.049 0.000 11.504

***

Entry 5:
! PBE-GGA Tb2Dy3Ho6Pu, relaxed; values from VASP
! Formation energy from the elements, eV per atom: 0.04
&SYSTEM
  ibrav = 0, nat = 12, ntyp = 4
/
ATOMIC_SPECIES
Tb 158.93 Tb.upf
Dy 162.50 Dy.upf
Ho 164.93 Ho.upf
Pu 244.00 Pu.upf
ATOMIC_POSITIONS angstrom
Tb 3.052 3.527 0.000
Tb 3.052 -3.527 0.000
Dy -1.020 0.000 5.734
Dy 2.032 1.768 5.734
Dy 2.032 -1.768 5.734
Ho 0.009 1.742 8.618
Ho 1.037 0.000 2.851
Ho 0.009 -1.742 8.618
Ho 4.054 1.742 2.850
Ho 3.026 0.000 8.616
Ho 4.054 -1.742 2.850
Pu 3.052 0.000 0.000
CELL_PARAMETERS angstrom
3.052 -5.288 0.000
3.052 5.288 0.000
-2.040 0.000 11.468

***

Entry 6:
! PBE-GGA Tb3Dy2Ho6Pu, relaxed; values from VASP
! Formation energy from the elements, eV per atom: 0.04
&SYSTEM
  ibrav = 0, nat = 12, ntyp = 4
/
ATOMIC_SPECIES
Tb 158.93 Tb.upf
Dy 162.50 Dy.upf
Ho 164.93 Ho.upf
Pu 244.00 Pu.upf
ATOMIC_POSITIONS angstrom
Tb 0.000 0.000 0.000
Tb 3.053 1.769 0.000
Tb 3.053 -1.769 0.000
Dy 2.033 3.527 5.734
Dy 2.033 -3.527 5.734
Ho 1.028 1.743 2.893
Ho 0.019 0.000 8.576
Ho 1.028 -1.743 2.893
Ho 3.037 1.743 8.575
Ho 4.046 0.000 2.892
Ho 3.037 -1.743 8.575
Pu 2.033 0.000 5.734
CELL_PARAMETERS angstrom
3.053 -5.290 0.000
3.053 5.290 0.000
-2.040 0.000 11.468

***

Entry 7:
! PBE-GGA DyHoPu2Te5, relaxed; values from VASP
! Energy relative to the elements, uncorrected, eV per atom: -0.682
&SYSTEM
  ibrav = 0, nat = 9, ntyp = 4
/
ATOMIC_SPECIES
Dy 162.50 Dy.upf
Ho 164.93 Ho.upf
Pu 244.00 Pu.upf
Te 127.60 Te.upf
ATOMIC_POSITIONS angstrom
Dy 0.000 0.000 0.000
Ho 0.000 0.000 5.771
Pu 2.755 2.755 3.674
Pu 2.755 2.755 7.869
Te 0.000 0.000 2.821
Te 0.000 0.000 8.722
Te 0.000 2.755 5.771
Te 2.755 0.000 5.771
Te 2.755 2.755 0.000
CELL_PARAMETERS angstrom
5.511 0.000 0.000
0.000 5.511 0.000
0.000 0.000 11.543

***

Entry 8:
! PBE-GGA DyHo2Pu3Te6, relaxed; values from VASP
! Energy relative to the elements, uncorrected, eV per atom: -1.204
&SYSTEM
  ibrav = 0, nat = 12, ntyp = 4
/
ATOMIC_SPECIES
Dy 162.50 Dy.upf
Ho 164.93 Ho.upf
Pu 244.00 Pu.upf
Te 127.60 Te.upf
ATOMIC_POSITIONS angstrom
Dy 0.000 0.000 0.000
Ho 4.955 0.000 5.700
Ho 12.072 0.000 2.846
Pu -1.084 0.000 4.273
Pu 6.043 0.000 1.424
Pu 10.984 0.000 7.121
Te 2.990 0.000 0.746
Te 1.973 0.000 4.952
Te 7.936 0.000 6.431
Te 9.091 0.000 2.114
Te 15.054 0.000 3.593
Te 14.037 0.000 7.799
CELL_PARAMETERS angstrom
9.597 -2.181 0.000
9.597 2.181 0.000
-2.167 0.000 8.545

***

Entry 9:
! PBE-GGA Dy2Ho3PuTe6, relaxed; values from VASP
! Energy relative to the elements, uncorrected, eV per atom: -1.250
&SYSTEM
  ibrav = 0, nat = 12, ntyp = 4
/
ATOMIC_SPECIES
Dy 162.50 Dy.upf
Ho 164.93 Ho.upf
Pu 244.00 Pu.upf
Te 127.60 Te.upf
ATOMIC_POSITIONS angstrom
Dy 2.439 0.000 2.795
Dy 14.535 0.000 5.710
Ho 1.440 0.000 7.098
Ho 8.487 0.000 4.253
Ho 15.534 0.000 1.407
Pu 9.505 0.000 0.000
Te -1.502 0.000 6.344
Te 4.425 0.000 7.796
Te 5.468 0.000 3.538
Te 11.506 0.000 4.967
Te 12.549 0.000 0.709
Te 18.476 0.000 2.161
CELL_PARAMETERS angstrom
9.505 -2.168 0.000
9.505 2.168 0.000
-2.036 0.000 8.505

***

Entry 10:
! PBE-GGA DyHo3Pu3Te8, relaxed; values from VASP
! Energy relative to the elements, uncorrected, eV per atom: -1.254
&SYSTEM
  ibrav = 0, nat = 15, ntyp = 4
/
ATOMIC_SPECIES
Dy 162.50 Dy.upf
Ho 164.93 Ho.upf
Pu 244.00 Pu.upf
Te 127.60 Te.upf
ATOMIC_POSITIONS angstrom
Dy 0.000 0.000 0.000
Ho 3.792 2.183 0.000
Ho 3.792 -2.183 0.000
Ho 7.583 0.000 0.000
Pu -2.530 0.000 3.580
Pu 1.262 2.183 3.580
Pu 1.262 -2.183 3.580
Te 0.000 0.000 5.414
Te 2.580 0.000 1.776
Te 6.287 2.134 1.769
Te 3.820 2.134 5.391
Te 6.287 -2.134 1.769
Te 3.820 -2.134 5.391
Te 7.528 0.000 5.383
Te 10.108 0.000 1.745
CELL_PARAMETERS angstrom
7.583 -4.366 0.000
7.583 4.366 0.000
-5.059 0.000 7.160

***

Entry 11:
! PBE-GGA Dy3Ho6PuTh2, relaxed; values from VASP
! Formation energy from the elements, eV per atom: 0.03
&SYSTEM
  ibrav = 0, nat = 12, ntyp = 4
/
ATOMIC_SPECIES
Dy 162.50 Dy.upf
Ho 164.93 Ho.upf
Pu 244.00 Pu.upf
Th 232.04 Th.upf
ATOMIC_POSITIONS angstrom
Dy 0.000 0.000 0.000
Dy 3.050 1.759 0.000
Dy 3.050 -1.759 0.000
Ho 1.021 1.753 2.913
Ho 0.009 0.000 8.577
Ho 1.021 -1.753 2.913
Ho 3.046 1.753 8.577
Ho 4.058 0.000 2.913
Ho 3.046 -1.753 8.577
Pu 2.034 0.000 5.745
Th 2.034 3.522 5.745
Th 2.034 -3.522 5.745
CELL_PARAMETERS angstrom
3.050 -5.282 0.000
3.050 5.282 0.000
-2.033 0.000 11.490

***

Entry 12:
! PBE-GGA DyHoPuTh, relaxed; values from VASP
! Formation energy from the elements, eV per atom: 0.20
&SYSTEM
  ibrav = 0, nat = 4, ntyp = 4
/
ATOMIC_SPECIES
Dy 162.50 Dy.upf
Ho 164.93 Ho.upf
Pu 244.00 Pu.upf
Th 232.04 Th.upf
ATOMIC_POSITIONS angstrom
Dy 0.000 0.000 0.000
Ho 1.967 1.967 1.967
Pu 5.900 5.900 5.900
Th 3.933 3.933 3.933
CELL_PARAMETERS angstrom
0.000 3.933 3.933
3.933 0.000 3.933
3.933 3.933 0.000